Entry 1:
This record from Alexandria via LeMat-Bulk describes a geometry-optimized Nd2Er5 structure. The functional is PBE.

Cell lengths 8.465, 8.465, 9.207 Å; angles 95.52, 95.52, 43.52 degrees
Positions (direct):
Nd 0.095 0.759 0.892
Nd 0.241 0.905 0.608
Nd 0.759 0.095 0.392
Nd 0.905 0.241 0.108
Er 0.047 0.382 0.821
Er 0.190 0.519 0.535
Er 0.335 0.665 0.250
Er 0.382 0.047 0.321
Er 0.481 0.810 0.965
Er 0.519 0.190 0.035
Er 0.618 0.953 0.679
Er 0.665 0.335 0.750
Er 0.810 0.481 0.465
Er 0.953 0.618 0.179

Computed properties:
Its raw total energy is -0.3389 Ry per atom. The calculation puts the density of states at the Fermi level at 11.54 states/eV/f.u. The magnetic moment is 0.0 Bohr magnetons per cell. The volume comes out at 32.272 A^3/atom.


Entry 2:
This record from Alexandria via LeMat-Bulk describes a geometry-optimized NdEr8 structure. The functional is PBE.

Cell lengths 7.888, 7.888, 7.888 Å; angles 95.70, 95.70, 143.25 degrees
Positions (direct):
Nd 0.000 0.000 0.000
Er 0.000 0.334 0.334
Er 0.000 0.666 0.666
Er 0.332 0.332 0.665
Er 0.332 0.668 0.000
Er 0.334 0.000 0.334
Er 0.666 0.000 0.666
Er 0.668 0.332 0.000
Er 0.668 0.668 0.335

Computed properties:
Its raw total energy is -0.3353 Ry per atom. The calculation puts the density of states at the Fermi level at 12.82 states/eV/f.u. The magnetic moment is 0.0 Bohr magnetons per cell. The volume comes out at 30.962 A^3/atom.


Entry 3:
This record from Alexandria via LeMat-Bulk describes a geometry-optimized NdEr3 structure. The functional is PBE.

Cell lengths 7.218, 7.218, 5.672 Å; angles 90.00, 90.00, 120.00 degrees
Positions (direct):
Nd 0.333 0.667 0.250
Nd 0.667 0.333 0.750
Er 0.165 0.331 0.750
Er 0.165 0.835 0.750
Er 0.331 0.165 0.250
Er 0.669 0.835 0.750
Er 0.835 0.165 0.250
Er 0.835 0.669 0.250

Computed properties:
Its raw total energy is -0.3384 Ry per atom. The calculation puts the density of states at the Fermi level at 7.09 states/eV/f.u. The magnetic moment is 0.0 Bohr magnetons per cell. The calculation puts the energy above the most stable polymorph in this dataset at 0.000 eV/atom. The volume comes out at 31.983 A^3/atom.


Entry 4:
This record from Alexandria via LeMat-Bulk describes a geometry-optimized Nd5Er2 structure. The functional is PBE.

Cell lengths 16.407, 3.550, 11.444 Å; angles 90.00, 132.29, 90.00 degrees
Positions (direct):
Nd 0.000 0.000 0.000
Nd 0.130 0.500 0.362
Nd 0.161 0.000 0.669
Nd 0.339 0.500 0.331
Nd 0.370 0.000 0.638
Nd 0.500 0.500 0.000
Nd 0.630 0.000 0.362
Nd 0.661 0.500 0.669
Nd 0.839 0.000 0.331
Nd 0.870 0.500 0.638
Er 0.138 0.500 0.913
Er 0.362 0.000 0.087
Er 0.638 0.000 0.913
Er 0.862 0.500 0.087

Computed properties:
Its raw total energy is -0.3322 Ry per atom. The calculation puts the density of states at the Fermi level at 11.06 states/eV/f.u. The magnetic moment is 0.0 Bohr magnetons per cell. The calculation puts the energy above the most stable polymorph in this dataset at 0.162 eV/atom. The volume comes out at 35.219 A^3/atom.


Entry 5:
This record from Alexandria via LeMat-Bulk describes a geometry-optimized Nd5Er2 structure. The functional is PBE.

Cell lengths 8.653, 8.653, 9.397 Å; angles 94.64, 94.64, 43.17 degrees
Positions (direct):
Nd 0.029 0.691 0.037
Nd 0.120 0.449 0.678
Nd 0.169 0.831 0.750
Nd 0.309 0.971 0.463
Nd 0.449 0.120 0.178
Nd 0.551 0.880 0.822
Nd 0.691 0.029 0.537
Nd 0.831 0.169 0.250
Nd 0.880 0.551 0.322
Nd 0.971 0.309 0.963
Er 0.265 0.594 0.393
Er 0.406 0.735 0.107
Er 0.594 0.265 0.893
Er 0.735 0.406 0.607

Computed properties:
Its raw total energy is -0.3441 Ry per atom. The calculation puts the density of states at the Fermi level at 12.12 states/eV/f.u. The magnetic moment is 0.0 Bohr magnetons per cell. The calculation puts the energy above the most stable polymorph in this dataset at 0.000 eV/atom. The volume comes out at 34.249 A^3/atom.


Entry 6:
This record from Alexandria via LeMat-Bulk describes a geometry-optimized NdEr3 structure. The functional is PBE.

Cell lengths 8.003, 8.003, 8.003 Å; angles 90.00, 90.00, 90.00 degrees
Positions (direct):
Nd 0.000 0.000 0.000
Nd 0.000 0.500 0.500
Nd 0.500 0.000 0.500
Nd 0.500 0.500 0.000
Er 0.000 0.000 0.500
Er 0.000 0.500 0.000
Er 0.250 0.250 0.250
Er 0.250 0.250 0.750
Er 0.250 0.750 0.250
Er 0.250 0.750 0.750
Er 0.500 0.000 0.000
Er 0.500 0.500 0.500
Er 0.750 0.250 0.250
Er 0.750 0.250 0.750
Er 0.750 0.750 0.250
Er 0.750 0.750 0.750

Computed properties:
Its raw total energy is -0.3297 Ry per atom. The calculation puts the density of states at the Fermi level at 7.34 states/eV/f.u. The magnetic moment is 0.0 Bohr magnetons per cell. The calculation puts the energy above the most stable polymorph in this dataset at 0.118 eV/atom. The volume comes out at 32.039 A^3/atom.


Entry 7:
This record from Alexandria via LeMat-Bulk describes a geometry-optimized NdEr3 structure. The functional is PBE.

Cell lengths 3.627, 5.648, 6.267 Å; angles 90.00, 90.00, 90.00 degrees
Positions (direct):
Nd 0.000 0.000 0.000
Er 0.000 0.500 0.663
Er 0.500 0.000 0.497
Er 0.500 0.500 0.166

Computed properties:
Its raw total energy is -0.3378 Ry per atom. The calculation puts the density of states at the Fermi level at 6.85 states/eV/f.u. The magnetic moment is 0.0 Bohr magnetons per cell. The calculation puts the energy above the most stable polymorph in this dataset at 0.008 eV/atom. The volume comes out at 32.100 A^3/atom.


Entry 8:
This record from Alexandria via LeMat-Bulk describes a geometry-optimized NdEr7 structure. The functional is PBE.

Cell lengths 7.045, 7.045, 7.045 Å; angles 60.00, 60.00, 60.00 degrees
Positions (direct):
Nd 0.000 0.000 0.000
Er 0.000 0.000 0.500
Er 0.000 0.500 0.000
Er 0.000 0.500 0.500
Er 0.500 0.000 0.000
Er 0.500 0.000 0.500
Er 0.500 0.500 0.000
Er 0.500 0.500 0.500

Computed properties:
Its raw total energy is -0.3356 Ry per atom. The calculation puts the density of states at the Fermi level at 11.13 states/eV/f.u. The magnetic moment is 0.0 Bohr magnetons per cell. The volume comes out at 30.905 A^3/atom.